LiEr2Cd | Alexandria | PBE | optimized geometry; space-group type = P4/mmm; crystal system = tetragonal; energy above the lowest structure with this stoichiometry = 0.0000 eV per atom; DOS(E_F) = 3.7 states/eV per cell; VASP energy = -12.4 eV per formula unit
1.0
5.175 0.000 0.000
0.000 5.175 0.000
0.000 0.000 3.750
Li Er Cd
1 2 1
Direct
0.000 0.000 0.000
0.000 0.500 0.500
0.500 0.000 0.500
0.500 0.500 0.000